Below is an optimized crystal structure of Al3OsRh, with properties calculated at the GGA-PBEsol level.

Cell and atoms, written as CIF:
```
data_Al3OsRh
_chemical_formula_sum 'Al3 Os1 Rh1'
_cell_length_a 4.4494
_cell_length_b 4.4494
_cell_length_c 4.4494
_cell_angle_alpha 90.00
_cell_angle_beta 90.00
_cell_angle_gamma 90.00
_symmetry_space_group_name_H-M 'P m -3 m'
_symmetry_Int_Tables_number 221
_symmetry_space_group_name_Hall '-P 4 2 3'
loop_
_atom_site_label
_atom_site_fract_x
_atom_site_fract_y
_atom_site_fract_z
Al1 0.0000 0.0000 0.5000
Os1 0.5000 0.5000 0.5000
Rh1 0.0000 0.0000 0.0000
```

Properties
DOS(E_F) (states/eV per cell): 4.17
DFT formation energy (eV per atom): 0.637
Volume (A^3/atom): 17.62